This record from the Alexandria database describes a geometry-optimized AlFeH2 structure. The functional is PBE. Values from VASP.

Summary:
Total magnetization = 0.0 μB/cell
Mass density = 4606 kg/m3
Fermi-level density of states = 0.473 states/eV per atom
E above lowest polymorph = 548 meV per atom

Cell and atoms, written as Quantum ESPRESSO input:
```
&SYSTEM
  ibrav = 0, nat = 16, ntyp = 3
/
ATOMIC_SPECIES
Al 26.98 Al.upf
Fe 55.84 Fe.upf
H 1.01 H.upf
CELL_PARAMETERS angstrom
4.964 0.000 0.000
0.000 4.964 0.000
0.000 0.000 4.964
ATOMIC_POSITIONS crystal
Al 0.000 0.000 0.000
Al 0.000 0.500 0.500
Al 0.500 0.000 0.500
Al 0.500 0.500 0.000
Fe 0.000 0.000 0.500
Fe 0.000 0.500 0.000
Fe 0.500 0.000 0.000
Fe 0.500 0.500 0.500
H 0.250 0.250 0.250
H 0.250 0.250 0.750
H 0.250 0.750 0.250
H 0.250 0.750 0.750
H 0.750 0.250 0.250
H 0.750 0.250 0.750
H 0.750 0.750 0.250
H 0.750 0.750 0.750
```

This record from the Alexandria database describes a geometry-optimized HoScPtRh structure. The functional is PBE. Values from VASP.

Summary:
Total magnetization = 0.0 μB/cell
Mass density = 11125 kg/m3
Formation energy from the elements = -1.0710 eV/atom
Fermi-level density of states = 0.295 states/eV per atom
E above lowest polymorph = 22 meV per atom

Cell and atoms, written as Quantum ESPRESSO input:
```
&SYSTEM
  ibrav = 0, nat = 16, ntyp = 4
/
ATOMIC_SPECIES
Ho 164.93 Ho.upf
Sc 44.96 Sc.upf
Pt 195.08 Pt.upf
Rh 102.91 Rh.upf
CELL_PARAMETERS angstrom
6.718 0.000 0.000
0.000 6.718 0.000
0.000 0.000 6.718
ATOMIC_POSITIONS crystal
Ho 0.000 0.000 0.000
Ho 0.000 0.500 0.500
Ho 0.500 0.000 0.500
Ho 0.500 0.500 0.000
Sc 0.000 0.000 0.500
Sc 0.000 0.500 0.000
Sc 0.500 0.000 0.000
Sc 0.500 0.500 0.500
Pt 0.250 0.250 0.750
Pt 0.250 0.750 0.250
Pt 0.750 0.250 0.250
Pt 0.750 0.750 0.750
Rh 0.250 0.250 0.250
Rh 0.250 0.750 0.750
Rh 0.750 0.250 0.750
Rh 0.750 0.750 0.250
```

This record from the Alexandria database describes a geometry-optimized Rb3Tl2Sn4 structure. The functional is PBE. Values from VASP.

Summary:
Total magnetization = 0.0 μB/cell
Mass density = 5397 kg/m3
Formation energy from the elements = -0.0864 eV/atom
Fermi-level density of states = 0.584 states/eV per atom
E above lowest polymorph = 43 meV per atom

Cell and atoms, written as Quantum ESPRESSO input:
```
&SYSTEM
  ibrav = 0, nat = 9, ntyp = 3
/
ATOMIC_SPECIES
Rb 85.47 Rb.upf
Tl 204.38 Tl.upf
Sn 118.71 Sn.upf
CELL_PARAMETERS angstrom
5.383 0.000 0.000
2.685 6.891 0.000
2.654 2.701 9.456
ATOMIC_POSITIONS crystal
Rb 0.000 0.000 0.000
Rb 0.395 0.865 0.351
Rb 0.605 0.135 0.649
Tl 0.276 0.699 0.738
Tl 0.724 0.301 0.262
Sn 0.096 0.471 0.356
Sn 0.288 0.381 0.048
Sn 0.712 0.619 0.952
Sn 0.904 0.529 0.644
```

This record from the Alexandria database describes a geometry-optimized YBeGa2Rh structure. The functional is PBE. Values from VASP.

Summary:
Total magnetization = 0.1 μB/cell
Mass density = 4331 kg/m3
Formation energy from the elements = 1.5748 eV/atom
Fermi-level density of states = 1.403 states/eV per atom

Cell and atoms, written as Quantum ESPRESSO input:
```
&SYSTEM
  ibrav = 0, nat = 5, ntyp = 4
/
ATOMIC_SPECIES
Y 88.91 Y.upf
Be 9.01 Be.upf
Ga 69.72 Ga.upf
Rh 102.91 Rh.upf
CELL_PARAMETERS angstrom
5.268 0.000 0.000
0.000 5.268 0.000
0.000 0.000 4.701
ATOMIC_POSITIONS crystal
Y 0.000 0.000 0.000
Be 0.000 0.000 0.500
Ga 0.000 0.500 0.000
Ga 0.500 0.000 0.000
Rh 0.500 0.500 0.500
```

This record from the Alexandria database describes a geometry-optimized Hf2BiP structure. The functional is PBE. Values from VASP.

Summary:
Total magnetization = 0.0 μB/cell
Mass density = 8342 kg/m3
Formation energy from the elements = 0.0222 eV/atom
Fermi-level density of states = 0.804 states/eV per atom

Cell and atoms, written as Quantum ESPRESSO input:
```
&SYSTEM
  ibrav = 0, nat = 16, ntyp = 3
/
ATOMIC_SPECIES
Hf 178.49 Hf.upf
Bi 208.98 Bi.upf
P 30.97 P.upf
CELL_PARAMETERS angstrom
6.161 0.000 0.000
0.000 6.161 0.000
0.000 0.000 12.521
ATOMIC_POSITIONS crystal
Hf 0.194 0.250 0.125
Hf 0.250 0.694 0.375
Hf 0.250 0.806 0.875
Hf 0.306 0.250 0.625
Hf 0.694 0.750 0.625
Hf 0.750 0.194 0.875
Hf 0.750 0.306 0.375
Hf 0.806 0.750 0.125
Bi 0.000 0.000 0.500
Bi 0.000 0.500 0.750
Bi 0.500 0.000 0.250
Bi 0.500 0.500 0.000
P 0.000 0.000 0.000
P 0.000 0.500 0.250
P 0.500 0.000 0.750
P 0.500 0.500 0.500
```

This record from the Alexandria database describes a geometry-optimized NaAg structure. The functional is PBE. Values from VASP.

Summary:
Total magnetization = 0.0 μB/cell
Mass density = 2355 kg/m3
Formation energy from the elements = 0.2305 eV/atom

Cell and atoms, written as Quantum ESPRESSO input:
```
&SYSTEM
  ibrav = 0, nat = 16, ntyp = 2
/
ATOMIC_SPECIES
Na 22.99 Na.upf
Ag 107.87 Ag.upf
CELL_PARAMETERS angstrom
9.038 0.000 0.000
0.000 9.038 0.000
0.000 0.000 9.038
ATOMIC_POSITIONS crystal
Na 0.202 0.202 0.202
Na 0.202 0.798 0.798
Na 0.298 0.298 0.702
Na 0.298 0.702 0.298
Na 0.702 0.298 0.298
Na 0.702 0.702 0.702
Na 0.798 0.202 0.798
Na 0.798 0.798 0.202
Ag 0.111 0.111 0.889
Ag 0.111 0.889 0.111
Ag 0.389 0.389 0.389
Ag 0.389 0.611 0.611
Ag 0.611 0.389 0.611
Ag 0.611 0.611 0.389
Ag 0.889 0.111 0.111
Ag 0.889 0.889 0.889
```

This record from the Alexandria database describes a geometry-optimized Y2HfAlSn structure. The functional is PBE. Values from VASP.

Summary:
Total magnetization = 2.8 μB/cell
Mass density = 5652 kg/m3
Formation energy from the elements = 0.5958 eV/atom
Fermi-level density of states = 0.591 states/eV per atom

Cell and atoms, written as Quantum ESPRESSO input:
```
&SYSTEM
  ibrav = 0, nat = 5, ntyp = 4
/
ATOMIC_SPECIES
Y 88.91 Y.upf
Hf 178.49 Hf.upf
Al 26.98 Al.upf
Sn 118.71 Sn.upf
CELL_PARAMETERS angstrom
5.407 0.000 0.000
0.000 5.407 0.000
0.000 0.000 5.044
ATOMIC_POSITIONS crystal
Y 0.000 0.500 0.000
Y 0.500 0.000 0.000
Hf 0.000 0.000 0.500
Al 0.500 0.500 0.000
Sn 0.500 0.500 0.500
```

This record from the Alexandria database describes a geometry-optimized ZnBiI5 structure. The functional is PBE. Values from VASP.

Summary:
Total magnetization = 0.0 μB/cell
Mass density = 4551 kg/m3
Energy relative to the elements, uncorrected = -447.2 meV per atom

Cell and atoms, written as Quantum ESPRESSO input:
```
&SYSTEM
  ibrav = 0, nat = 14, ntyp = 3
/
ATOMIC_SPECIES
Zn 65.41 Zn.upf
Bi 208.98 Bi.upf
I 126.90 I.upf
CELL_PARAMETERS angstrom
5.783 -5.714 0.000
5.783 5.714 0.000
-5.677 0.000 10.037
ATOMIC_POSITIONS crystal
Zn 0.122 0.878 0.750
Zn 0.878 0.122 0.250
Bi 0.000 0.500 0.000
Bi 0.500 0.000 0.500
I 0.166 0.200 0.464
I 0.180 0.604 0.833
I 0.200 0.166 0.964
I 0.348 0.652 0.250
I 0.396 0.820 0.667
I 0.604 0.180 0.333
I 0.652 0.348 0.750
I 0.800 0.834 0.036
I 0.820 0.396 0.167
I 0.834 0.800 0.536
```

This record from the Alexandria database describes a geometry-optimized CePmHo5Er2 structure. The functional is PBE. Values from VASP.

Summary:
Total magnetization = 1.5 μB/cell
Mass density = 8300 kg/m3
Formation energy from the elements = 0.1760 eV/atom
Fermi-level density of states = 1.766 states/eV per atom

Cell and atoms, written as Quantum ESPRESSO input:
```
&SYSTEM
  ibrav = 0, nat = 18, ntyp = 4
/
ATOMIC_SPECIES
Ce 140.12 Ce.upf
Pm 145.00 Pm.upf
Ho 164.93 Ho.upf
Er 167.26 Er.upf
CELL_PARAMETERS angstrom
2.834 -10.680 0.000
2.834 10.680 0.000
0.000 0.000 9.547
ATOMIC_POSITIONS crystal
Ce 0.194 0.806 0.500
Ce 0.806 0.194 0.000
Pm 0.403 0.597 0.901
Pm 0.597 0.403 0.401
Ho 0.013 0.987 0.492
Ho 0.267 0.733 0.810
Ho 0.306 0.694 0.193
Ho 0.394 0.606 0.518
Ho 0.471 0.529 0.223
Ho 0.529 0.471 0.723
Ho 0.606 0.394 0.018
Ho 0.694 0.306 0.693
Ho 0.733 0.267 0.310
Ho 0.987 0.013 0.992
Er 0.113 0.887 0.800
Er 0.136 0.864 0.182
Er 0.864 0.136 0.682
Er 0.887 0.113 0.300
```

This record from the Alexandria database describes a geometry-optimized KCdF3 structure. The functional is PBE. Values from VASP.

Summary:
Total magnetization = 0.4 μB/cell
Mass density = 3610 kg/m3
Fermi-level density of states = 0.000 states/eV per atom
Energy relative to the elements, uncorrected = -2422.4 meV per atom

Cell and atoms, written as Quantum ESPRESSO input:
```
&SYSTEM
  ibrav = 0, nat = 20, ntyp = 3
/
ATOMIC_SPECIES
K 39.10 K.upf
Cd 112.41 Cd.upf
F 19.00 F.upf
CELL_PARAMETERS angstrom
6.123 -5.138 0.000
6.123 5.138 0.000
-0.477 0.000 6.097
ATOMIC_POSITIONS crystal
K 0.107 0.337 0.271
K 0.337 0.107 0.771
K 0.663 0.893 0.229
K 0.893 0.663 0.729
Cd 0.227 0.773 0.250
Cd 0.415 0.585 0.750
Cd 0.585 0.415 0.250
Cd 0.773 0.227 0.750
F 0.027 0.251 0.870
F 0.178 0.617 0.540
F 0.251 0.027 0.370
F 0.325 0.493 0.070
F 0.383 0.822 0.960
F 0.493 0.325 0.570
F 0.507 0.675 0.430
F 0.617 0.178 0.040
F 0.675 0.507 0.930
F 0.749 0.973 0.630
F 0.822 0.383 0.460
F 0.973 0.749 0.130
```

This record from the Alexandria database describes a geometry-optimized LaSi2Br structure. The functional is PBE. Values from VASP.

Summary:
Total magnetization = 0.0 μB/cell
Mass density = 3896 kg/m3
Fermi-level density of states = 0.695 states/eV per atom
Energy relative to the elements, uncorrected = 123.4 meV per atom
E above lowest polymorph = 875 meV per atom

Cell and atoms, written as Quantum ESPRESSO input:
```
&SYSTEM
  ibrav = 0, nat = 16, ntyp = 3
/
ATOMIC_SPECIES
La 138.91 La.upf
Si 28.09 Si.upf
Br 79.90 Br.upf
CELL_PARAMETERS angstrom
9.262 0.000 0.000
0.000 9.262 0.000
0.000 0.000 5.464
ATOMIC_POSITIONS crystal
La 0.000 0.000 0.000
La 0.000 0.500 0.250
La 0.500 0.000 0.750
La 0.500 0.500 0.500
Si 0.231 0.250 0.125
Si 0.250 0.731 0.375
Si 0.250 0.769 0.875
Si 0.269 0.250 0.625
Si 0.731 0.750 0.625
Si 0.750 0.231 0.875
Si 0.750 0.269 0.375
Si 0.769 0.750 0.125
Br 0.000 0.000 0.500
Br 0.000 0.500 0.750
Br 0.500 0.000 0.250
Br 0.500 0.500 0.000
```

This record from the Alexandria database describes a geometry-optimized Ba2NaYH structure. The functional is PBE. Values from VASP.

Summary:
Total magnetization = 0.0 μB/cell
Mass density = 3502 kg/m3
DFT total energy = -2.993 eV/atom
Fermi-level density of states = 1.229 states/eV per atom

Cell and atoms, written as Quantum ESPRESSO input:
```
&SYSTEM
  ibrav = 0, nat = 5, ntyp = 4
/
ATOMIC_SPECIES
Ba 137.33 Ba.upf
Na 22.99 Na.upf
Y 88.91 Y.upf
H 1.01 H.upf
CELL_PARAMETERS angstrom
6.429 0.000 0.000
0.000 6.429 0.000
0.000 0.000 4.446
ATOMIC_POSITIONS crystal
Ba 0.000 0.500 0.000
Ba 0.500 0.000 0.000
Na 0.000 0.000 0.500
Y 0.500 0.500 0.500
H 0.500 0.500 0.000
```

Copy entry 5 word for word.
This record from the Alexandria database describes a geometry-optimized Hf2BiP structure. The functional is PBE. Values from VASP.

Summary:
Total magnetization = 0.0 μB/cell
Mass density = 8342 kg/m3
Formation energy from the elements = 0.0222 eV/atom
Fermi-level density of states = 0.804 states/eV per atom

Cell and atoms, written as Quantum ESPRESSO input:
```
&SYSTEM
  ibrav = 0, nat = 16, ntyp = 3
/
ATOMIC_SPECIES
Hf 178.49 Hf.upf
Bi 208.98 Bi.upf
P 30.97 P.upf
CELL_PARAMETERS angstrom
6.161 0.000 0.000
0.000 6.161 0.000
0.000 0.000 12.521
ATOMIC_POSITIONS crystal
Hf 0.194 0.250 0.125
Hf 0.250 0.694 0.375
Hf 0.250 0.806 0.875
Hf 0.306 0.250 0.625
Hf 0.694 0.750 0.625
Hf 0.750 0.194 0.875
Hf 0.750 0.306 0.375
Hf 0.806 0.750 0.125
Bi 0.000 0.000 0.500
Bi 0.000 0.500 0.750
Bi 0.500 0.000 0.250
Bi 0.500 0.500 0.000
P 0.000 0.000 0.000
P 0.000 0.500 0.250
P 0.500 0.000 0.750
P 0.500 0.500 0.500
```

> Look up the total magnetization of the eleventh one.

0.0 μB/cell